Density functional theory data (PBE) for an optimized crystal structure of PaBOs.

Cell: 6.4886 6.4886 5.0609 Å, 110.16 110.16 27.84°
Last column: nearest neighbours and their distance in Å.
Element x y z (fractional)
Pa (0.1232, 0.1232, 0.2837)  4 B 2.72-2.87, 4 Os 2.93-3.03
Pa (0.8768, 0.8768, 0.7163)  4 B 2.72-2.87, 4 Os 2.93-3.03
B (0.2332, 0.2332, 0.8752)  2 B 1.96, 2 Os 2.18
B (0.7668, 0.7668, 0.1248)  2 B 1.96, 2 Os 2.18
Os (0.3964, 0.3964, 0.2451)  3 B 2.18-2.23
Os (0.6036, 0.6036, 0.7549)  3 B 2.18-2.23

- ΔE_f: -394 meV per atom
- Offset from the most stable computed form: 0.000 eV per atom

---

Density functional theory data (PBE) for an optimized crystal structure of LiLaSmZn.

Cell: 5.3000 5.3000 5.3000 Å, 60.00 60.00 60.00°
Last column: nearest neighbours and their distance in Å.
Element x y z (fractional)
Li (0.0000, 0.0000, 0.0000)  4 La 3.25, 4 Sm 3.25
La (0.2500, 0.2500, 0.2500)  4 Zn 3.25, 4 Li 3.25
Sm (0.7500, 0.7500, 0.7500)  4 Zn 3.25, 4 Li 3.25
Zn (0.5000, 0.5000, 0.5000)  4 La 3.25, 4 Sm 3.25

- ΔE_f: -103 meV per atom
- Offset from the most stable computed form: 0.016 eV per atom

---

Density functional theory data (PBE) for an optimized crystal structure of LaHoTh2P4.

Cell: 7.1486 4.1448 7.1781 Å, 90.00 109.60 90.00°
Last column: nearest neighbours and their distance in Å.
Element x y z (fractional)
La (0.0000, 0.0000, 0.0000)  6 P 2.96
Ho (0.0000, 0.5000, 0.5000)  6 P 2.90
Th (0.5000, 0.0000, 0.5000)  6 P 2.89-2.90
Th (0.5000, 0.5000, 0.0000)  6 P 2.95
P (0.2481, 0.0000, 0.7430)  3 Th 2.90-2.95, 2 Ho 2.90, 1 La 2.96
P (0.2534, 0.5000, 0.2576)  3 Th 2.89-2.95, 1 Ho 2.90, 2 La 2.96
P (0.7466, 0.5000, 0.7424)  3 Th 2.89-2.95, 1 Ho 2.90, 2 La 2.96
P (0.7519, 0.0000, 0.2570)  3 Th 2.90-2.95, 2 Ho 2.90, 1 La 2.96

- ΔE_f: -1568 meV per atom

---

Density functional theory data (PBE) for an optimized crystal structure of La7Pm2Er4.

Cell: 5.9791 6.7669 12.6652 Å, 94.45 90.42 115.97°
Last column: nearest neighbours and their distance in Å.
Element x y z (fractional)
La (0.0000, 0.0000, 0.0000)  2 La 3.50, 4 Pm 3.70-3.73
La (0.1423, 0.3584, 0.6981)  4 La 3.45-3.83, 5 Er 3.45-3.81, 1 Pm 3.67
La (0.2471, 0.4224, 0.2055)  1 Er 3.27, 2 Pm 3.40-3.55, 4 La 3.45-3.62
La (0.4973, 0.0175, 0.2348)  1 Pm 3.45, 2 Er 3.55-3.68, 4 La 3.62-3.83
La (0.5027, 0.9825, 0.7652)  1 Pm 3.45, 2 Er 3.55-3.68, 4 La 3.62-3.83
La (0.7529, 0.5776, 0.7945)  1 Er 3.27, 2 Pm 3.40-3.55, 4 La 3.45-3.62
La (0.8577, 0.6416, 0.3019)  4 La 3.45-3.83, 5 Er 3.45-3.81, 1 Pm 3.67
Pm (0.3168, 0.6371, 0.9668)  6 La 3.40-3.73, 2 Pm 3.55-3.57
Pm (0.6832, 0.3629, 0.0332)  6 La 3.40-3.73, 2 Pm 3.55-3.57
Er (0.0137, 0.1676, 0.4161)  4 Er 3.18-3.46, 3 La 3.27-3.55
Er (0.4230, 0.7182, 0.4720)  6 Er 3.33-3.63, 3 La 3.57-3.68
Er (0.5770, 0.2818, 0.5280)  6 Er 3.33-3.63, 3 La 3.57-3.68
Er (0.9863, 0.8324, 0.5839)  4 Er 3.18-3.46, 3 La 3.27-3.55

- ΔE_f: 107 meV per atom

---

Density functional theory data (PBE) for an optimized crystal structure of YAsHBr2.

Cell: 5.6247 5.6247 5.8381 Å, 90.00 90.00 90.00°
Last column: nearest neighbours and their distance in Å.
Element x y z (fractional)
Y (0.0000, 0.0000, 0.0000)  4 Br 2.81, 2 As 2.92
As (0.0000, 0.0000, 0.5000)  2 Y 2.92
H (0.5000, 0.5000, 0.5000)  4 As 3.98, 8 Br 4.05
Br (0.0000, 0.5000, 0.0000)  2 Y 2.81
Br (0.5000, 0.0000, 0.0000)  2 Y 2.81

- Offset from the most stable computed form: 0.000 eV per atom

---

Density functional theory data (PBE) for an optimized crystal structure of ErHfBe10.

Cell: 3.5168 4.6143 7.9685 Å, 90.00 90.00 90.00°
Last column: nearest neighbours and their distance in Å.
Element x y z (fractional)
Er (0.0000, 0.0000, 0.0000)  18 Be 2.70-2.97
Hf (0.0000, 0.5000, 0.5000)  14 Be 2.58-2.82
Be (0.0000, 0.0000, 0.3420)  6 Be 2.16-2.22
Be (0.0000, 0.0000, 0.6580)  6 Be 2.16-2.22
Be (0.0000, 0.5000, 0.1765)  6 Be 2.19-2.25
Be (0.0000, 0.5000, 0.8235)  6 Be 2.19-2.25
Be (0.5000, 0.0000, 0.5000)  8 Be 2.16-2.25
Be (0.5000, 0.2576, 0.2609)  8 Be 2.19-2.38
Be (0.5000, 0.2576, 0.7391)  8 Be 2.19-2.38
Be (0.5000, 0.5000, 0.0000)  8 Be 2.25-2.36
Be (0.5000, 0.7424, 0.2609)  8 Be 2.19-2.38
Be (0.5000, 0.7424, 0.7391)  8 Be 2.19-2.38

- ΔE_f: -193 meV per atom

---

| no. | total magnetic moment (μB/f.u.) |
| --- | --- |
| 1 | 0.00 |
| 2 | 0.00 |
| 3 | 0.00 |
| 4 | 0.00 |
| 5 | 3.00 |
| 6 | 0.00 |